(1)
Density functional theory data (PBE) for an optimized crystal structure of Sr2YW.

Computed properties:
Uncorrected energy: -55.4 eV for the cell shown
Energy above the lowest structure with this stoichiometry: 390 meV per atom
Total moment: 0.00 μB per cell
Formation enthalpy at 0 K: 1.077 eV/atom
Crystal system: trigonal
V: 30.3 A^3/atom
SG: No. 166

Cell: 3.408 3.408 36.190 Å, 90.00 90.00 120.00°
Fractional positions:
Sr1 0.000 0.000 0.238
Sr2 0.000 0.000 0.762
Sr3 0.333 0.667 0.429
Sr4 0.333 0.667 0.905
Sr5 0.667 0.333 0.095
Sr6 0.667 0.333 0.571
Y1 0.000 0.000 0.000
Y2 0.333 0.667 0.667
Y3 0.667 0.333 0.333
W1 0.000 0.000 0.500
W2 0.333 0.667 0.167
W3 0.667 0.333 0.833

(2)
Density functional theory data (PBE) for an optimized crystal structure of SrZnW2.

Computed properties:
Uncorrected energy: -51.2 eV for the cell shown
Energy above the lowest structure with this stoichiometry: 321 meV per atom
Total moment: 0.00 μB per cell
Formation enthalpy at 0 K: 0.811 eV/atom
Crystal system: orthorhombic
V: 19.3 A^3/atom
SG: No. 71

Cell: 2.755 5.125 10.947 Å, 90.00 90.00 90.00°
Fractional positions:
Sr1 0.000 0.000 0.000
Sr2 0.500 0.500 0.500
Zn1 0.000 0.000 0.500
Zn2 0.500 0.500 0.000
W1 0.000 0.500 0.221
W2 0.000 0.500 0.779
W3 0.500 0.000 0.279
W4 0.500 0.000 0.721

(3)
Density functional theory data (PBE) for an optimized crystal structure of Sr4ZnW.

Computed properties:
Uncorrected energy: -13.1 eV for the cell shown
Total moment: 3.95 μB per cell
Formation enthalpy at 0 K: 1.314 eV/atom
Crystal system: cubic
V: 38.3 A^3/atom
SG: No. 216

Cell: 6.875 6.875 6.875 Å, 60.00 60.00 60.00°
Fractional positions:
Sr1 0.124 0.124 0.124
Sr2 0.124 0.124 0.627
Sr3 0.124 0.627 0.124
Sr4 0.627 0.124 0.124
Zn1 0.500 0.500 0.500
W1 0.750 0.750 0.750

Q: Number 2 is which compound?
A: SrZnW2

Q: What is the formation enthalpy at 0 K in the third record?
A: 1.314 eV/atom